[1]
DyErCu4, relaxed, DFT GGA-PBE; E above lowest polymorph = 0.0 meV/atom; formation enthalpy at 0 K = -1.69 eV per formula unit; crystal system = orthorhombic; symmetry = No. 44; DOS(E_F) = 2.8 states/eV/f.u.; final energy = -27.2 eV per cell; total magnetization = 0.0 μB/f.u.
1.0
-2.1384 3.3961 3.6569
2.1384 -3.3961 3.6569
2.1384 3.3961 -3.6569
Dy Er Cu
1 1 4
Direct
0.0000 0.0000 0.0000
0.4111 0.9111 0.5000
0.4217 0.6193 0.8024
0.5916 0.2901 0.3014
0.8169 0.6193 0.1976
0.9887 0.2901 0.6986

***

[2]
AlP2SeBr, relaxed, DFT GGA-PBE; crystal system = tetragonal; symmetry = No. 123; DOS(E_F) = 3.9 states/eV/f.u.; final energy = -16.7 eV per cell; total magnetization = 0.1 μB/f.u.
1.0
4.8313 0.0000 0.0000
0.0000 4.8313 0.0000
0.0000 0.0000 4.7151
Al P Se Br
1 2 1 1
Direct
0.0000 0.0000 0.0000
0.0000 0.5000 0.0000
0.5000 0.0000 0.0000
0.5000 0.5000 0.5000
0.0000 0.0000 0.5000

***

[3]
BaLiReO4, relaxed, DFT GGA-PBE; crystal system = cubic; symmetry = No. 216; DOS(E_F) = 2.9 states/eV/f.u.; final energy = -47.9 eV per cell; total magnetization = 1.8 μB/f.u.
1.0
0.0000 4.2065 4.2065
4.2065 0.0000 4.2065
4.2065 4.2065 0.0000
Ba Li Re O
1 1 1 4
Direct
0.0000 0.0000 0.0000
0.7500 0.7500 0.7500
0.5000 0.5000 0.5000
0.1228 0.6257 0.6257
0.6257 0.1228 0.6257
0.6257 0.6257 0.1228
0.6257 0.6257 0.6257

***

[4]
Cu2H2SI2, relaxed, DFT GGA-PBE; crystal system = triclinic; symmetry = No. 2; DOS(E_F) = 7.0 states/eV/f.u.; final energy = -21.8 eV per cell; total magnetization = 0.0 μB/f.u.
1.0
4.1791 0.0000 0.0000
-2.0095 6.5447 0.0000
-2.0756 -2.8105 6.0559
Cu H S I
2 2 1 2
Direct
0.1227 0.4367 0.3085
0.8773 0.5633 0.6915
0.3895 0.4999 0.9999
0.6105 0.5001 0.0001
0.0000 0.5000 0.0000
0.4884 0.8057 0.6814
0.5116 0.1943 0.3186

***

[5]
SrSc2Co2, relaxed, DFT GGA-PBE; E above lowest polymorph = 0.0 meV/atom; formation enthalpy at 0 K = -0.10 eV per formula unit; crystal system = tetragonal; symmetry = No. 139; DOS(E_F) = 0.9 states/eV/f.u.; final energy = -28.7 eV per cell; total magnetization = 0.0 μB/f.u.
1.0
-2.1742 2.1742 5.5186
2.1742 -2.1742 5.5186
2.1742 2.1742 -5.5186
Sr Sc Co
1 2 2
Direct
0.0000 0.0000 0.0000
0.2500 0.7500 0.5000
0.7500 0.2500 0.5000
0.3934 0.3934 0.0000
0.6066 0.6066 0.0000

***

[6]
CaAl2Te, relaxed, DFT GGA-PBE; crystal system = tetragonal; symmetry = No. 122; DOS(E_F) = 2.5 states/eV/f.u.; final energy = -26.4 eV per cell; total magnetization = 0.0 μB/f.u.
1.0
-4.2011 4.2011 3.0525
4.2011 -4.2011 3.0525
4.2011 4.2011 -3.0525
Ca Al Te
2 4 2
Direct
0.0000 0.0000 0.0000
0.7500 0.2500 0.5000
0.1499 0.6250 0.0249
0.3750 0.3999 0.5249
0.6001 0.1250 0.9751
0.8750 0.8501 0.4751
0.2500 0.7500 0.5000
0.5000 0.5000 0.0000

***

[7]
Sm3Y, relaxed, DFT GGA-PBE; E above lowest polymorph = 8.6 meV/atom; formation enthalpy at 0 K = 0.09 eV per formula unit; crystal system = orthorhombic; symmetry = No. 44; DOS(E_F) = 7.2 states/eV/f.u.; final energy = -20.5 eV per cell; total magnetization = 0.0 μB/f.u.
1.0
-1.8353 5.8068 3.1695
1.8353 -5.8068 3.1695
1.8353 5.8068 -3.1695
Sm Y
3 1
Direct
0.0000 0.0000 0.0000
0.0831 0.3325 0.7506
0.5820 0.3325 0.2494
0.5008 0.0008 0.5000

***

[8]
LiNi2Br, relaxed, DFT GGA-PBE; E above lowest polymorph = 132.8 meV/atom; crystal system = orthorhombic; symmetry = No. 71; DOS(E_F) = 5.1 states/eV/f.u.; final energy = -14.6 eV per cell; total magnetization = 1.1 μB/f.u.
1.0
-1.6011 1.8127 5.1183
1.6011 -1.8127 5.1183
1.6011 1.8127 -5.1183
Li Ni Br
1 2 1
Direct
0.0000 0.0000 0.0000
0.2834 0.7834 0.5000
0.7166 0.2166 0.5000
0.5000 0.5000 0.0000